## Nd5Ho4Tl2 (PBE)

Data for a geometry-optimized Nd5Ho4Tl2 structure.

Geometry as POSCAR:
```
Nd5Ho4Tl2
1.0
8.8973 0.0000 0.0000
0.0000 3.5986 0.0000
-0.7929 0.0000 11.1417
Nd Ho Tl
5 4 2
Cartesian
0.0000 0.0000 0.0000
0.0806 0.0000 3.7510
2.0175 0.0000 9.3012
6.0869 0.0000 1.8405
8.0238 0.0000 7.3907
2.0945 1.7993 6.1760
3.0050 1.7993 1.2112
5.0994 1.7993 9.9305
6.0099 1.7993 4.9657
3.4096 0.0000 3.8222
4.6948 0.0000 7.3195
```

Calculated values
Its space-group type is P2/m (10). The calculation puts the energy at -4.293 eV per atom. The magnetization comes out at 0.0 μB/f.u.